The following is a DFT calculation (PBE) of a geometry-optimized NaTe structure.

As for the uncorrected formation energy: -0.189 eV per atom. Its size of the total moment is 1.01 μB per formula unit.

a = 9.725 Å, b = 9.725 Å, c = 9.725 Å
α = 90.00°, β = 90.00°, γ = 90.00°
Space group I-43m (No. 217)
Asymmetric unit:
Na 0.180 0.180 0.180 x8
Te 0.137 0.137 0.863 x8



The following is a DFT calculation (PBE) of a geometry-optimized NaTe structure.

As for the uncorrected formation energy: -0.650 eV per atom. Its size of the total moment is 0.00 μB per formula unit.

a = 12.220 Å, b = 4.568 Å, c = 4.674 Å
α = 90.00°, β = 111.63°, γ = 90.00°
Space group C2/m (No. 12)
Asymmetric unit:
Na 0.132 0.000 0.463 x4
Te 0.113 0.500 0.969 x4



The following is a DFT calculation (PBE) of a geometry-optimized NaTe structure.

As for the uncorrected formation energy: -0.642 eV per atom. Its size of the total moment is 0.00 μB per formula unit.

a = 4.718 Å, b = 6.156 Å, c = 9.141 Å
α = 90.00°, β = 90.00°, γ = 90.00°
Space group Immm (No. 71)
Asymmetric unit:
Na 0.000 0.000 0.189 x4
Te 0.000 0.248 0.500 x4



The following is a DFT calculation (PBE) of a geometry-optimized NaTe structure.

As for the uncorrected formation energy: -0.548 eV per atom. Its size of the total moment is 0.00 μB per formula unit.

a = 8.670 Å, b = 8.837 Å, c = 18.552 Å
α = 90.00°, β = 90.00°, γ = 90.00°
Space group Fddd (No. 70, origin choice 2)
Asymmetric unit:
Na 0.099 0.375 0.375 x16
Te 0.125 0.125 0.259 x16



The following is a DFT calculation (PBE) of a geometry-optimized NaTe structure.

As for the uncorrected formation energy: -0.535 eV per atom. Its size of the total moment is 0.00 μB per formula unit.

a = 14.340 Å, b = 14.340 Å, c = 3.169 Å
α = 90.00°, β = 90.00°, γ = 90.00°
Space group I4/m (No. 87)
Asymmetric unit:
Na 0.117 0.735 0.000 x8
Te 0.095 0.252 0.000 x8



The following is a DFT calculation (PBE) of a geometry-optimized NaTe structure.

As for the uncorrected formation energy: -0.605 eV per atom. Its size of the total moment is 0.00 μB per formula unit.

a = 7.360 Å, b = 7.360 Å, c = 5.913 Å
α = 90.00°, β = 90.00°, γ = 90.00°
Space group P4_2/mnm (No. 136)
Asymmetric unit:
Na 0.225 0.225 0.000 x4
Te 0.136 0.136 0.500 x4



The following is a DFT calculation (PBE) of a geometry-optimized Na3Te structure.

As for the uncorrected formation energy: -0.491 eV per atom. Its size of the total moment is 0.00 μB per formula unit.

a = 5.551 Å, b = 5.551 Å, c = 7.767 Å
α = 90.00°, β = 90.00°, γ = 90.00°
Space group I4/mmm (No. 139)
Asymmetric unit:
Na 0.000 0.000 0.000 x2
Na 0.000 0.500 0.250 x4
Te 0.000 0.000 0.500 x2



The following is a DFT calculation (PBE) of a geometry-optimized NaTe structure.

As for the uncorrected formation energy: -0.468 eV per atom. Its size of the total moment is 0.00 μB per formula unit.

a = 11.0597 Å, b = 11.0597 Å, c = 5.8824 Å
α = 90.00°, β = 90.00°, γ = 120.00°
Space group P6_3/m (No. 176)
Asymmetric unit:
Na 0.1884 0.4327 0.2500 x6
Te 0.0200 0.4685 0.7500 x6



The following is a DFT calculation (PBE) of a geometry-optimized NaTe2 structure.

As for the uncorrected formation energy: -0.168 eV per atom. Its size of the total moment is 0.00 μB per formula unit.

a = 9.314 Å, b = 9.314 Å, c = 9.314 Å
α = 90.00°, β = 90.00°, γ = 90.00°
Space group Fd-3m (No. 227, origin choice 2)
Asymmetric unit:
Na 0.125 0.125 0.125 x8
Te 0.000 0.000 0.500 x16



The following is a DFT calculation (PBE) of a geometry-optimized NaThTe2 structure.

As for the uncorrected formation energy: -1.083 eV per atom. Its size of the total moment is 0.00 μB per formula unit.

a = 4.3483 Å, b = 4.3483 Å, c = 24.4871 Å
α = 90.00°, β = 90.00°, γ = 120.00°
Space group R3m (No. 160, hexagonal axes)
Asymmetric unit:
Na 0.0000 0.0000 0.0000 x3
Th 0.0000 0.0000 0.8317 x3
Te 0.0000 0.0000 0.2451 x3
Te 0.0000 0.0000 0.4182 x3



The following is a DFT calculation (PBE) of a geometry-optimized NaThTe2 structure.

As for the uncorrected formation energy: -1.088 eV per atom. Its size of the total moment is 0.00 μB per formula unit.

a = 3.879 Å, b = 3.879 Å, c = 8.036 Å
α = 90.00°, β = 90.00°, γ = 90.00°
Space group P4/mmm (No. 123)
Asymmetric unit:
Na 0.000 0.000 0.000 x1
Th 0.000 0.000 0.500 x1
Te 0.500 0.500 0.270 x2



The following is a DFT calculation (PBE) of a geometry-optimized Na5Th3Te8 structure.

As for the uncorrected formation energy: -1.112 eV per atom. Its size of the total moment is 0.00 μB per formula unit.

a = 9.0630 Å, b = 9.0630 Å, c = 22.6052 Å
α = 90.00°, β = 90.00°, γ = 120.00°
Space group R-3m (No. 166, hexagonal axes)
Asymmetric unit:
Na 0.0000 0.0000 0.0000 x3
Na 0.0000 0.0000 0.5000 x3
Na 0.0000 0.5000 0.0000 x9
Th 0.0000 0.5000 0.5000 x9
Te 0.0000 0.0000 0.2477 x6
Te 0.0079 0.5039 0.7541 x18